[1]
{
  "formula": "Te2OsBr",
  "functional": "PBE-GGA",
  "state": "optimized geometry",
  "space_group": "P4mm, No. 99",
  "raw_formation_energy_mev_per_atom": 495,
  "relative_energy_mev_per_atom": 455,
  "lattice": [[-2.329, -1.652, -2.385], [-1.779, -1.604, 2.848], [-5.133, 6.544, 0.480]],
  "species": ["Te", "Os", "Br", "Te"],
  "fractional_positions": [[0.500, 0.500, 0.210], [0.500, 0.500, 0.907], [0.000, 0.000, 0.529], [0.000, 0.000, 0.854]]
}

[2]
{
  "formula": "Te2OsBr",
  "functional": "PBE-GGA",
  "state": "optimized geometry",
  "space_group": "P2/m, No. 10",
  "raw_formation_energy_mev_per_atom": 322,
  "relative_energy_mev_per_atom": 283,
  "lattice": [[3.982, 0.000, 0.000], [0.000, 2.894, 0.314], [0.000, 1.835, 9.773]],
  "species": ["Br", "Te", "Te", "Os"],
  "fractional_positions": [[0.500, 0.250, 0.250], [0.000, 0.568, 0.935], [0.000, 0.932, 0.565], [0.500, 0.750, 0.750]]
}

[3]
{
  "formula": "TeOs3Br",
  "functional": "PBE-GGA",
  "state": "optimized geometry",
  "space_group": "Pm-3m, No. 221",
  "raw_formation_energy_mev_per_atom": 2627,
  "relative_energy_mev_per_atom": 180,
  "lattice": [[-2.595, 2.808, 3.129], [-4.042, -0.654, -2.764], [-1.157, -4.012, 2.640]],
  "species": ["Br", "Os", "Os", "Os", "Te"],
  "fractional_positions": [[0.500, 0.500, 0.500], [0.500, 0.000, 0.000], [0.000, 0.000, 0.500], [0.000, 0.500, 0.000], [0.000, 0.000, 0.000]]
}

[4]
{
  "formula": "TeOsBr",
  "functional": "PBE-GGA",
  "state": "optimized geometry",
  "space_group": "Fmm2, No. 42",
  "raw_formation_energy_mev_per_atom": 737,
  "lattice": [[-2.805, 5.862, -5.522], [-5.438, 4.666, -3.945], [1.401, 2.865, 0.821]],
  "species": ["Os", "Br", "Te"],
  "fractional_positions": [[0.333, 0.333, 0.667], [0.963, 0.963, 0.037], [0.704, 0.704, 0.296]]
}

| no. | magnetic moment (μB per atom) |
| --- | --- |
| 1 | 0.0000 |
| 2 | 0.0770 |
| 3 | 0.8791 |
| 4 | 0.0000 |